# DyGe3Ru3 | Alexandria | PBE | optimized geometry
# magnetization	0.00	μB/atom
data_DyGe3Ru3
_symmetry_space_group_name_H-M 'R -3'
_symmetry_Int_Tables_number 148
_symmetry_space_group_name_Hall '-R 3'
_cell_length_a 6.7252
_cell_length_b 6.7252
_cell_length_c 20.2946
_cell_angle_alpha 90.00
_cell_angle_beta 90.00
_cell_angle_gamma 120.00
loop_
_atom_site_label
_atom_site_type_symbol
_atom_site_fract_x
_atom_site_fract_y
_atom_site_fract_z
Dy1 Dy 0.0000 0.0000 0.1683
Ge1 Ge 0.0480 0.4310 0.2578
Ru1 Ru 0.0257 0.2612 0.7137

# DyGe3Ru5 | Alexandria | PBE | optimized geometry
# magnetization	0.00	μB/atom
data_DyGe3Ru5
_symmetry_space_group_name_H-M 'C m c m'
_symmetry_Int_Tables_number 63
_symmetry_space_group_name_Hall '-C 2c 2'
_cell_length_a 3.033
_cell_length_b 13.469
_cell_length_c 14.245
_cell_angle_alpha 90.00
_cell_angle_beta 90.00
_cell_angle_gamma 90.00
loop_
_atom_site_label
_atom_site_type_symbol
_atom_site_fract_x
_atom_site_fract_y
_atom_site_fract_z
Dy1 Dy 0.000 0.148 0.250
Ge1 Ge 0.000 0.146 0.750
Ge2 Ge 0.000 0.367 0.558
Ru1 Ru 0.000 0.000 0.000
Ru2 Ru 0.000 0.189 0.581
Ru3 Ru 0.000 0.470 0.154

# Dy3Ge13Ru4 | Alexandria | PBE | optimized geometry
# magnetization	0.00	μB/atom
data_Dy3Ge13Ru4
_symmetry_space_group_name_H-M 'P m -3 n'
_symmetry_Int_Tables_number 223
_symmetry_space_group_name_Hall '-P 4n 2 3'
_cell_length_a 9.040
_cell_length_b 9.040
_cell_length_c 9.040
_cell_angle_alpha 90.00
_cell_angle_beta 90.00
_cell_angle_gamma 90.00
loop_
_atom_site_label
_atom_site_type_symbol
_atom_site_fract_x
_atom_site_fract_y
_atom_site_fract_z
Dy1 Dy 0.000 0.250 0.500
Ge1 Ge 0.000 0.000 0.000
Ge2 Ge 0.000 0.301 0.148
Ru1 Ru 0.250 0.250 0.250

# Dy3Ge3Ru | Alexandria | PBE | optimized geometry
# magnetization	0.00	μB/atom
data_Dy3Ge3Ru
_symmetry_space_group_name_H-M 'C 1 2/m 1'
_symmetry_Int_Tables_number 12
_cell_length_a 10.779
_cell_length_b 4.278
_cell_length_c 13.869
_cell_angle_alpha 90.00
_cell_angle_beta 110.57
_cell_angle_gamma 90.00
loop_
_symmetry_equiv_pos_as_xyz
'x,y,z'
'-x,-y,-z'
'-x,y,-z'
'x,-y,z'
'x+1/2,y+1/2,z'
'-x+1/2,-y+1/2,-z'
'-x+1/2,y+1/2,-z'
'x+1/2,-y+1/2,z'
loop_
_atom_site_label
_atom_site_type_symbol
_atom_site_fract_x
_atom_site_fract_y
_atom_site_fract_z
Dy1 Dy 0.023 0.000 0.377
Dy2 Dy 0.099 0.000 0.920
Dy3 Dy 0.243 0.000 0.230
Ge1 Ge 0.044 0.500 0.239
Ge2 Ge 0.123 0.500 0.074
Ge3 Ge 0.136 0.500 0.545
Ru1 Ru 0.246 0.500 0.413

# DyGe3Ru3 | Alexandria | PBE | optimized geometry
# magnetization	0.00	μB/atom
data_DyGe3Ru3
_symmetry_space_group_name_H-M 'P m -3 n'
_symmetry_Int_Tables_number 223
_symmetry_space_group_name_Hall '-P 4n 2 3'
_cell_length_a 6.667
_cell_length_b 6.667
_cell_length_c 6.667
_cell_angle_alpha 90.00
_cell_angle_beta 90.00
_cell_angle_gamma 90.00
loop_
_atom_site_label
_atom_site_type_symbol
_atom_site_fract_x
_atom_site_fract_y
_atom_site_fract_z
Dy1 Dy 0.000 0.000 0.000
Ge1 Ge 0.000 0.250 0.500
Ru1 Ru 0.000 0.500 0.250

# Dy3Ge2Ru2 | Alexandria | PBE | optimized geometry
# magnetization	0.00	μB/atom
data_Dy3Ge2Ru2
_symmetry_space_group_name_H-M 'P b c m'
_symmetry_Int_Tables_number 57
_cell_length_a 5.551
_cell_length_b 7.725
_cell_length_c 13.589
_cell_angle_alpha 90.00
_cell_angle_beta 90.00
_cell_angle_gamma 90.00
loop_
_symmetry_equiv_pos_as_xyz
'x,y,z'
'-x,-y,-z'
'-x,-y,z+1/2'
'x,y,-z+1/2'
'x,-y+1/2,-z'
'-x,y+1/2,z'
'-x,y+1/2,-z+1/2'
'x,-y+1/2,z+1/2'
loop_
_atom_site_label
_atom_site_type_symbol
_atom_site_fract_x
_atom_site_fract_y
_atom_site_fract_z
Dy1 Dy 0.126 0.233 0.250
Dy2 Dy 0.350 0.597 0.099
Ge1 Ge 0.126 0.250 0.000
Ge2 Ge 0.374 0.614 0.750
Ru1 Ru 0.148 0.533 0.591

# DyGe3Ru2 | Alexandria | PBE | optimized geometry
# magnetization	0.00	μB/atom
data_DyGe3Ru2
_symmetry_space_group_name_H-M 'C m c m'
_symmetry_Int_Tables_number 63
_symmetry_space_group_name_Hall '-C 2c 2'
_cell_length_a 4.250
_cell_length_b 11.875
_cell_length_c 8.455
_cell_angle_alpha 90.00
_cell_angle_beta 90.00
_cell_angle_gamma 90.00
loop_
_atom_site_label
_atom_site_type_symbol
_atom_site_fract_x
_atom_site_fract_y
_atom_site_fract_z
Dy1 Dy 0.000 0.188 0.250
Ge1 Ge 0.000 0.130 0.750
Ge2 Ge 0.000 0.379 0.523
Ru1 Ru 0.000 0.000 0.000
Ru2 Ru 0.000 0.473 0.250

# DyGe4Ru4 | Alexandria | PBE | optimized geometry
# magnetization	0.00	μB/atom
data_DyGe4Ru4
_symmetry_space_group_name_H-M 'P 42/n m c'
_symmetry_Int_Tables_number 137
_cell_length_a 6.079
_cell_length_b 6.079
_cell_length_c 8.250
_cell_angle_alpha 90.00
_cell_angle_beta 90.00
_cell_angle_gamma 90.00
loop_
_symmetry_equiv_pos_as_xyz
'x,y,z'
'-x,-y,-z'
'-y+1/2,x,z+1/2'
'y+1/2,-x,-z+1/2'
'-x+1/2,-y+1/2,z'
'x+1/2,y+1/2,-z'
'y,-x+1/2,z+1/2'
'-y,x+1/2,-z+1/2'
'x+1/2,-y,-z'
'-x+1/2,y,z'
'-y,-x,-z+1/2'
'y,x,z+1/2'
'-x,y+1/2,-z'
'x,-y+1/2,z'
'y+1/2,x+1/2,-z+1/2'
'-y+1/2,-x+1/2,z+1/2'
loop_
_atom_site_label
_atom_site_type_symbol
_atom_site_fract_x
_atom_site_fract_y
_atom_site_fract_z
Dy1 Dy 0.250 0.750 0.250
Ge1 Ge 0.042 0.250 0.066
Ru1 Ru 0.013 0.250 0.365

Respective D(E_F) values: 26.0, 29.8, 16.3, 17.1, 5.0, 14.5, 10.1, 13.3 states/eV per cell.
Respective raw total energy values: -0.252, -0.272, -0.220, -0.224, -0.239, -0.244, -0.245, -0.257 Ha/atom.